[1]
10
Lattice="-6.675 -4.034 -0.503 4.815 -1.149 6.048 -0.426 8.039 1.868" Properties=species:S:1:pos:R:3 comment="RbNdAg2Br6, optimized geometry, DFT PBE" volume_a3_per_atom=36.63 energy_ev_per_atom=-3.361 e_form_raw_ev_per_atom=-1.21 sg=R3 pbc="T T T"
Ag -0.348 -0.196 5.285
Ag -2.456 3.616 2.638
Rb -4.453 -0.742 3.399
Br -0.251 5.028 2.269
Br 0.555 2.355 6.756
Br -1.761 -2.563 4.575
Br 0.737 0.404 2.722
Br -2.860 -0.282 0.366
Br -2.548 1.850 4.603
Nd -0.460 7.980 1.879

[2]
12
Lattice="4.228 -0.064 -0.447 -0.021 4.169 -0.835 -1.167 -0.291 9.503" Properties=species:S:1:pos:R:3 comment="V7Cr2Mo3, optimized geometry, DFT PBE" formation_enthalpy_0k_mev_per_atom=-79 volume_a3_per_atom=13.69 energy_ev_per_atom=-9.710 sg=C2/m pbc="T T T"
V 3.041 3.814 8.221
V 2.581 0.850 4.207
V 0.150 2.386 1.093
V 0.766 3.546 6.934
V 2.275 0.269 1.287
V 2.891 1.429 7.128
V 0.459 2.965 4.014
Mo 2.104 2.053 -0.641
Mo 2.421 2.647 2.345
Mo 0.620 1.167 5.876
Cr 0.310 0.582 2.924
Cr 2.731 3.232 5.297

[3]
18
Lattice="-5.197 4.152 1.768 -3.978 -3.033 -4.569 1.403 -7.763 8.955" Properties=species:S:1:pos:R:3 comment="La5Tl2H2, optimized geometry, DFT PBE" volume_a3_per_atom=28.27 energy_ev_per_atom=-4.335 sg=Ima2 pbc="T T T"
La -5.338 -1.684 1.062
La -0.686 -7.294 8.313
La -2.714 -8.779 6.042
La -2.181 -4.766 5.383
La -3.094 -5.287 1.537
La -6.760 0.838 -1.843
La -4.811 2.386 0.455
La -6.536 -4.393 3.903
La -0.983 -2.057 2.542
La -4.396 -1.141 4.941
H -7.148 -2.907 2.097
H -3.821 -2.914 -4.389
H -4.431 0.679 -1.221
H -1.442 -4.360 3.117
Tl -2.621 -2.919 -0.522
Tl -3.104 0.572 2.604
Tl -4.928 -3.554 6.931
Tl -4.445 -7.046 3.806

[4]
7
Lattice="5.792 0.000 0.000 0.000 5.792 0.000 2.896 2.896 8.806" Properties=species:S:1:pos:R:3 comment="RbNa2La4, optimized geometry, DFT PBE" formation_enthalpy_0k_mev_per_atom=929 volume_a3_per_atom=42.20 energy_ev_per_atom=-2.401 sg=I4/mmm pbc="T T T"
La 2.896 0.000 0.000
La 5.792 5.792 3.068
La 0.000 2.896 0.000
La 2.896 2.896 5.738
Rb 0.000 0.000 0.000
Na 5.792 5.792 6.608
Na 2.896 2.896 2.198